(1)
Pu3PaGe: optimized geometry, PBE-GGA.

Cell and atoms, written as CIF:
```
data_Pu3PaGe
_chemical_formula_sum 'Pu36 Pa12 Ge12'
_cell_length_a 13.254
_cell_length_b 6.218
_cell_length_c 16.261
_cell_angle_alpha 90.00
_cell_angle_beta 90.63
_cell_angle_gamma 90.00
_symmetry_space_group_name_H-M 'C 1 2/c 1'
_symmetry_Int_Tables_number 15
_symmetry_space_group_name_Hall '-C 2yc'
loop_
_atom_site_label
_atom_site_type_symbol
_atom_site_fract_x
_atom_site_fract_y
_atom_site_fract_z
Pu1 Pu 0.000 0.144 0.250
Pu2 Pu 0.113 0.499 0.903
Pu3 Pu 0.124 0.139 0.140
Pu4 Pu 0.189 0.372 0.597
Pu5 Pu 0.241 0.392 0.302
Pa1 Pa 0.000 0.424 0.750
Pa2 Pa 0.120 0.056 0.862
Ge1 Ge 0.019 0.197 0.506
Ge2 Ge 0.250 0.250 0.000
```

Results
DFT formation energy: -4.3 kJ/mol of atoms
DOS at the Fermi energy: 138.43 states/eV/cell
magnetic moment: 1.114 μB/atom

=====

(2)
Pu4PaGe15: optimized geometry, PBE-GGA.

Cell and atoms, written as CIF:
```
data_Pu4PaGe15
_chemical_formula_sum 'Pu4 Pa1 Ge15'
_cell_length_a 4.265
_cell_length_b 4.265
_cell_length_c 21.155
_cell_angle_alpha 90.00
_cell_angle_beta 90.00
_cell_angle_gamma 90.00
_symmetry_space_group_name_H-M 'P 4/m m m'
_symmetry_Int_Tables_number 123
_symmetry_space_group_name_Hall '-P 4 2'
loop_
_atom_site_label
_atom_site_type_symbol
_atom_site_fract_x
_atom_site_fract_y
_atom_site_fract_z
Pu1 Pu 0.000 0.000 0.100
Pu2 Pu 0.000 0.000 0.301
Pa1 Pa 0.000 0.000 0.500
Ge1 Ge 0.000 0.500 0.000
Ge2 Ge 0.000 0.500 0.200
Ge3 Ge 0.000 0.500 0.399
Ge4 Ge 0.500 0.500 0.101
Ge5 Ge 0.500 0.500 0.298
Ge6 Ge 0.500 0.500 0.500
```

Results
DFT formation energy: -39.0 kJ/mol of atoms
DOS at the Fermi energy: 25.20 states/eV/cell
magnetic moment: 0.026 μB/atom

=====

(3)
Pu5Pa3Ge4: optimized geometry, PBE-GGA.

Cell and atoms, written as CIF:
```
data_Pu5Pa3Ge4
_chemical_formula_sum 'Pu10 Pa6 Ge8'
_cell_length_a 12.595
_cell_length_b 4.914
_cell_length_c 9.035
_cell_angle_alpha 90.00
_cell_angle_beta 94.48
_cell_angle_gamma 90.00
_symmetry_space_group_name_H-M 'C 1 2/m 1'
_symmetry_Int_Tables_number 12
_symmetry_space_group_name_Hall '-C 2y'
loop_
_atom_site_label
_atom_site_type_symbol
_atom_site_fract_x
_atom_site_fract_y
_atom_site_fract_z
Pu1 Pu 0.000 0.000 0.000
Pu2 Pu 0.072 0.500 0.657
Pu3 Pu 0.203 0.500 0.452
Pa1 Pa 0.000 0.500 0.000
Pa2 Pa 0.182 0.000 0.146
Ge1 Ge 0.073 0.000 0.417
Ge2 Ge 0.185 0.000 0.818
```

Results
DFT formation energy: -7.2 kJ/mol of atoms
DOS at the Fermi energy: 40.74 states/eV/cell
magnetic moment: 0.213 μB/atom

=====

(4)
Pu4PaGe: optimized geometry, PBE-GGA.

Cell and atoms, written as CIF:
```
data_Pu4PaGe
_chemical_formula_sum 'Pu16 Pa4 Ge4'
_cell_length_a 5.958
_cell_length_b 14.134
_cell_length_c 5.937
_cell_angle_alpha 90.00
_cell_angle_beta 107.91
_cell_angle_gamma 90.00
_symmetry_space_group_name_H-M 'C 1 2/c 1'
_symmetry_Int_Tables_number 15
_symmetry_space_group_name_Hall '-C 2yc'
loop_
_atom_site_label
_atom_site_type_symbol
_atom_site_fract_x
_atom_site_fract_y
_atom_site_fract_z
Pu1 Pu 0.212 0.097 0.311
Pu2 Pu 0.231 0.437 0.048
Pa1 Pa 0.000 0.217 0.750
Ge1 Ge 0.000 0.290 0.250
```

Results
DFT formation energy: -7.2 kJ/mol of atoms
DOS at the Fermi energy: 56.97 states/eV/cell
magnetic moment: 0.000 μB/atom

=====

(5)
Pu3Pa2Ge: optimized geometry, PBE-GGA.

Cell and atoms, written as CIF:
```
data_Pu3Pa2Ge
_chemical_formula_sum 'Pu12 Pa8 Ge4'
_cell_length_a 8.956
_cell_length_b 12.747
_cell_length_c 6.227
_cell_angle_alpha 90.00
_cell_angle_beta 132.00
_cell_angle_gamma 90.00
_symmetry_space_group_name_H-M 'C 1 2/c 1'
_symmetry_Int_Tables_number 15
_symmetry_space_group_name_Hall '-C 2yc'
loop_
_atom_site_label
_atom_site_type_symbol
_atom_site_fract_x
_atom_site_fract_y
_atom_site_fract_z
Pu1 Pu 0.000 0.203 0.250
Pu2 Pu 0.107 0.320 0.053
Pa1 Pa 0.217 0.436 0.618
Ge1 Ge 0.000 0.114 0.750
```

Results
DFT formation energy: -8.6 kJ/mol of atoms
DOS at the Fermi energy: 45.64 states/eV/cell
magnetic moment: 0.913 μB/atom

=====

(6)
PuPa2Ge9: optimized geometry, PBE-GGA.

Cell and atoms, written as CIF:
```
data_PuPa2Ge9
_chemical_formula_sum 'Pu1 Pa2 Ge9'
_cell_length_a 4.269
_cell_length_b 4.269
_cell_length_c 12.758
_cell_angle_alpha 90.00
_cell_angle_beta 90.00
_cell_angle_gamma 90.00
_symmetry_space_group_name_H-M 'P 4/m m m'
_symmetry_Int_Tables_number 123
_symmetry_space_group_name_Hall '-P 4 2'
loop_
_atom_site_label
_atom_site_type_symbol
_atom_site_fract_x
_atom_site_fract_y
_atom_site_fract_z
Pu1 Pu 0.000 0.000 0.000
Pa1 Pa 0.000 0.000 0.334
Ge1 Ge 0.000 0.500 0.165
Ge2 Ge 0.000 0.500 0.500
Ge3 Ge 0.500 0.500 0.000
Ge4 Ge 0.500 0.500 0.331
```

Results
DFT formation energy: -42.1 kJ/mol of atoms
DOS at the Fermi energy: 10.70 states/eV/cell
magnetic moment: 0.377 μB/atom

=====

(7)
Pu5PaGe6: optimized geometry, PBE-GGA.

Cell and atoms, written as CIF:
```
data_Pu5PaGe6
_chemical_formula_sum 'Pu10 Pa2 Ge12'
_cell_length_a 5.433
_cell_length_b 5.806
_cell_length_c 16.300
_cell_angle_alpha 90.00
_cell_angle_beta 90.00
_cell_angle_gamma 90.00
_symmetry_space_group_name_H-M 'I m m m'
_symmetry_Int_Tables_number 71
_symmetry_space_group_name_Hall '-I 2 2'
loop_
_atom_site_label
_atom_site_type_symbol
_atom_site_fract_x
_atom_site_fract_y
_atom_site_fract_z
Pu1 Pu 0.000 0.000 0.000
Pu2 Pu 0.000 0.000 0.330
Pu3 Pu 0.000 0.500 0.334
Pa1 Pa 0.000 0.500 0.000
Ge1 Ge 0.000 0.243 0.500
Ge2 Ge 0.000 0.253 0.167
```

Results
DFT formation energy: -40.5 kJ/mol of atoms
DOS at the Fermi energy: 67.15 states/eV/cell
magnetic moment: 0.529 μB/atom

=====

(8)
PuPaGe2: optimized geometry, PBE-GGA.

Cell and atoms, written as CIF:
```
data_PuPaGe2
_chemical_formula_sum 'Pu1 Pa1 Ge2'
_cell_length_a 3.883
_cell_length_b 3.883
_cell_length_c 5.737
_cell_angle_alpha 90.00
_cell_angle_beta 90.00
_cell_angle_gamma 90.00
_symmetry_space_group_name_H-M 'P 4/m m m'
_symmetry_Int_Tables_number 123
_symmetry_space_group_name_Hall '-P 4 2'
loop_
_atom_site_label
_atom_site_type_symbol
_atom_site_fract_x
_atom_site_fract_y
_atom_site_fract_z
Pu1 Pu 0.000 0.000 0.000
Pa1 Pa 0.000 0.000 0.500
Ge1 Ge 0.500 0.500 0.248
```

Results
offset from the most stable computed form: 0.000 eV/atom
DFT formation energy: -45.2 kJ/mol of atoms
DOS at the Fermi energy: 7.15 states/eV/cell
magnetic moment: 1.565 μB/atom

=====

(9)
Pu3Pa4Ge4: optimized geometry, PBE-GGA.

Cell and atoms, written as CIF:
```
data_Pu3Pa4Ge4
_chemical_formula_sum 'Pu6 Pa8 Ge8'
_cell_length_a 8.669
_cell_length_b 8.669
_cell_length_c 8.669
_cell_angle_alpha 90.00
_cell_angle_beta 90.00
_cell_angle_gamma 90.00
_symmetry_space_group_name_H-M 'I -4 3 m'
_symmetry_Int_Tables_number 217
_symmetry_space_group_name_Hall 'I -4 2 3'
loop_
_atom_site_label
_atom_site_type_symbol
_atom_site_fract_x
_atom_site_fract_y
_atom_site_fract_z
Pu1 Pu 0.000 0.000 0.500
Pa1 Pa 0.134 0.134 0.134
Ge1 Ge 0.186 0.186 0.814
```

Results
DFT formation energy: 22.3 kJ/mol of atoms
DOS at the Fermi energy: 80.71 states/eV/cell
magnetic moment: 1.951 μB/atom

=====

(10)
Pu2Pa3Ge3: optimized geometry, PBE-GGA.

Cell and atoms, written as CIF:
```
data_Pu2Pa3Ge3
_chemical_formula_sum 'Pu4 Pa6 Ge6'
_cell_length_a 4.958
_cell_length_b 13.247
_cell_length_c 5.952
_cell_angle_alpha 90.00
_cell_angle_beta 112.39
_cell_angle_gamma 90.00
_symmetry_space_group_name_H-M 'P 1 21/m 1'
_symmetry_Int_Tables_number 11
_symmetry_space_group_name_Hall '-P 2yb'
loop_
_atom_site_label
_atom_site_type_symbol
_atom_site_fract_x
_atom_site_fract_y
_atom_site_fract_z
Pu1 Pu 0.249 0.132 0.251
Pa1 Pa 0.251 0.529 0.750
Pa2 Pa 0.254 0.250 0.754
Ge1 Ge 0.249 0.601 0.249
Ge2 Ge 0.250 0.750 0.745
```

Results
offset from the most stable computed form: 0.032 eV/atom
DFT formation energy: -30.0 kJ/mol of atoms
DOS at the Fermi energy: 24.95 states/eV/cell
magnetic moment: 1.471 μB/atom

=====

(11)
PuPa2Ge3: optimized geometry, PBE-GGA.

Cell and atoms, written as CIF:
```
data_PuPa2Ge3
_chemical_formula_sum 'Pu8 Pa16 Ge24'
_cell_length_a 9.168
_cell_length_b 9.168
_cell_length_c 13.199
_cell_angle_alpha 90.00
_cell_angle_beta 90.00
_cell_angle_gamma 90.00
_symmetry_space_group_name_H-M 'I 41/a m d'
_symmetry_Int_Tables_number 141
loop_
_symmetry_equiv_pos_as_xyz
'x,y,z'
'-x,-y,-z'
'-y+1/4,x+3/4,z+1/4'
'y+1/4,-x+3/4,-z+1/4'
'-x+1/2,-y,z+1/2'
'x+1/2,y,-z+1/2'
'y+1/4,-x+1/4,z+3/4'
'-y+1/4,x+1/4,-z+3/4'
'x,-y,-z'
'-x,y,z'
'-y+1/4,-x+1/4,-z+3/4'
'y+1/4,x+1/4,z+3/4'
'-x+1/2,y,-z+1/2'
'x+1/2,-y,z+1/2'
'y+1/4,x+3/4,-z+1/4'
'-y+1/4,-x+3/4,z+1/4'
'x+1/2,y+1/2,z+1/2'
'-x+1/2,-y+1/2,-z+1/2'
'-y+3/4,x+1/4,z+3/4'
'y+3/4,-x+1/4,-z+3/4'
'-x,-y+1/2,z'
'x,y+1/2,-z'
'y+3/4,-x+3/4,z+1/4'
'-y+3/4,x+3/4,-z+1/4'
'x+1/2,-y+1/2,-z+1/2'
'-x+1/2,y+1/2,z+1/2'
'-y+3/4,-x+3/4,-z+1/4'
'y+3/4,x+3/4,z+1/4'
'-x,y+1/2,-z'
'x,-y+1/2,z'
'y+3/4,x+1/4,-z+3/4'
'-y+3/4,-x+1/4,z+3/4'
loop_
_atom_site_label
_atom_site_type_symbol
_atom_site_fract_x
_atom_site_fract_y
_atom_site_fract_z
Pu1 Pu 0.000 0.250 0.253
Pa1 Pa 0.000 0.056 0.785
Ge1 Ge 0.000 0.000 0.000
Ge2 Ge 0.202 0.048 0.375
```

Results
offset from the most stable computed form: 0.159 eV/atom
DFT formation energy: -20.6 kJ/mol of atoms
DOS at the Fermi energy: 70.36 states/eV/cell
magnetic moment: 1.027 μB/atom

=====

(12)
Pu2Pa2Ge3: optimized geometry, PBE-GGA.

Cell and atoms, written as CIF:
```
data_Pu2Pa2Ge3
_chemical_formula_sum 'Pu4 Pa4 Ge6'
_cell_length_a 10.987
_cell_length_b 4.800
_cell_length_c 5.867
_cell_angle_alpha 90.00
_cell_angle_beta 93.49
_cell_angle_gamma 90.00
_symmetry_space_group_name_H-M 'C 1 2/m 1'
_symmetry_Int_Tables_number 12
_symmetry_space_group_name_Hall '-C 2y'
loop_
_atom_site_label
_atom_site_type_symbol
_atom_site_fract_x
_atom_site_fract_y
_atom_site_fract_z
Pu1 Pu 0.110 0.000 0.487
Pa1 Pa 0.102 0.500 0.245
Ge1 Ge 0.000 0.000 0.000
Ge2 Ge 0.177 0.500 0.761
```

Results
DFT formation energy: -20.0 kJ/mol of atoms
DOS at the Fermi energy: 20.49 states/eV/cell
magnetic moment: 1.236 μB/atom

=====

> Among the records above, which one has the highest DOS at the Fermi energy?

Pu3PaGe

=====

> Which formula does entry 11 have?

PuPa2Ge3

=====

> What is the formula in the twelfth record?

Pu2Pa2Ge3